No. 1
# BeFeW2 (PBE-GGA, relaxed)
# Final energy, eV/atom: -9.3162
# Volume, Å³/f.u.: 51.3
# Calculated formation energy, kcal/mol of atoms: 4.79
data_BeFeW2
_chemical_formula_sum 'Be2 Fe2 W4'
_cell_length_a 9.094
_cell_length_b 2.707
_cell_length_c 4.406
_cell_angle_alpha 90.00
_cell_angle_beta 108.88
_cell_angle_gamma 90.00
_space_group_name_H-M_alt 'C 1 m 1'
_space_group_IT_number 8
_space_group_name_Hall 'C -2y'
loop_
_atom_site_label
_atom_site_fract_x
_atom_site_fract_y
_atom_site_fract_z
Be1 0.000 0.000 0.000
Fe1 0.297 0.000 0.721
W1 0.037 0.500 0.519
W2 0.254 0.500 0.181

---

No. 2
# Ca4H6O (PBE-GGA, relaxed)
# Final energy, eV/atom: -3.9995
# Volume, Å³/f.u.: 159.4
data_Ca4H6O
_chemical_formula_sum 'Ca8 H12 O2'
_cell_length_a 7.625
_cell_length_b 7.625
_cell_length_c 5.483
_cell_angle_alpha 90.00
_cell_angle_beta 90.00
_cell_angle_gamma 90.00
_space_group_name_H-M_alt 'P 42/n m c'
_space_group_IT_number 137
loop_
_space_group_symop_operation_xyz
'x,y,z'
'-x,-y,-z'
'-y+1/2,x,z+1/2'
'y+1/2,-x,-z+1/2'
'-x+1/2,-y+1/2,z'
'x+1/2,y+1/2,-z'
'y,-x+1/2,z+1/2'
'-y,x+1/2,-z+1/2'
'x+1/2,-y,-z'
'-x+1/2,y,z'
'-y,-x,-z+1/2'
'y,x,z+1/2'
'-x,y+1/2,-z'
'x,-y+1/2,z'
'y+1/2,x+1/2,-z+1/2'
'-y+1/2,-x+1/2,z+1/2'
loop_
_atom_site_label
_atom_site_fract_x
_atom_site_fract_y
_atom_site_fract_z
Ca1 0.005 0.250 0.048
H1 0.033 0.533 0.250
H2 0.250 0.250 0.300
O1 0.250 0.750 0.750

---

No. 3
# BeRu2Rh (PBE-GGA, relaxed)
# Final energy, eV/atom: -7.1772
# Volume, Å³/f.u.: 52.3
# Calculated formation energy, kcal/mol of atoms: 5.31
data_BeRu2Rh
_chemical_formula_sum 'Be2 Ru4 Rh2'
_cell_length_a 2.745
_cell_length_b 4.543
_cell_length_c 8.389
_cell_angle_alpha 90.00
_cell_angle_beta 90.00
_cell_angle_gamma 90.00
_space_group_name_H-M_alt 'C m m m'
_space_group_IT_number 65
_space_group_name_Hall '-C 2 2'
loop_
_atom_site_label
_atom_site_fract_x
_atom_site_fract_y
_atom_site_fract_z
Be1 0.000 0.000 0.000
Ru1 0.000 0.500 0.224
Rh1 0.000 0.000 0.500